[1]
DFT (GGA-PBE) results for AcGa2NiIr after structural relaxation.

Values from the calculation:
density of states at the Fermi level	0.729	states/eV per atom
E_form	-13.19	kcal/mol of atoms
uncorrected energy	-0.4066	Ry per atom
magnetic moment	0.0	μB per formula unit
density	10.45	Mg/m³

a b c (Å): 4.304 4.304 10.589
angles (deg): 90.00 90.00 90.00
Element x y z (fractional)
Ac (0.000, 0.000, 0.000)
Ac (0.500, 0.500, 0.500)
Ga (0.000, 0.000, 0.366)
Ga (0.000, 0.000, 0.634)
Ga (0.500, 0.500, 0.134)
Ga (0.500, 0.500, 0.866)
Ni (0.000, 0.500, 0.250)
Ni (0.500, 0.000, 0.750)
Ir (0.000, 0.500, 0.750)
Ir (0.500, 0.000, 0.250)

=====

[2]
DFT (GGA-PBE) results for Li4GdTm after structural relaxation.

Values from the calculation:
density of states at the Fermi level	1.115	states/eV per atom
E_form	2.72	kcal/mol of atoms
uncorrected energy	-0.3124	Ry per atom
magnetic moment	7.5	μB per formula unit
density	4.20	Mg/m³

a b c (Å): 5.829 5.829 5.829
angles (deg): 60.00 60.00 60.00
Element x y z (fractional)
Li (0.125, 0.125, 0.125)
Li (0.125, 0.125, 0.624)
Li (0.125, 0.624, 0.125)
Li (0.624, 0.125, 0.125)
Gd (0.750, 0.750, 0.750)
Tm (0.500, 0.500, 0.500)

=====

[3]
DFT (GGA-PBE) results for Li3SnAu7 after structural relaxation.

Values from the calculation:
density of states at the Fermi level	0.248	states/eV per atom
E_form	-5.63	kcal/mol of atoms
uncorrected energy	-0.2364	Ry per atom
magnetic moment	0.0	μB per formula unit
density	12.23	Mg/m³

a b c (Å): 6.400 6.400 5.487
angles (deg): 104.37 104.37 97.82
Element x y z (fractional)
Li (0.000, 0.000, 0.000)
Li (0.230, 0.770, 0.500)
Li (0.770, 0.230, 0.500)
Sn (0.500, 0.500, 0.000)
Au (0.058, 0.585, 0.807)
Au (0.172, 0.172, 0.520)
Au (0.415, 0.942, 0.193)
Au (0.500, 0.500, 0.500)
Au (0.585, 0.058, 0.807)
Au (0.828, 0.828, 0.480)
Au (0.942, 0.415, 0.193)

=====

[4]
DFT (GGA-PBE) results for LiNd5Co2 after structural relaxation.

Values from the calculation:
density of states at the Fermi level	1.052	states/eV per atom
E_form	-0.15	kcal/mol of atoms
uncorrected energy	-0.3676	Ry per atom
magnetic moment	0.0	μB per formula unit
density	6.56	Mg/m³

a b c (Å): 8.890 8.890 8.890
angles (deg): 127.54 127.54 77.37
Element x y z (fractional)
Li (0.250, 0.250, 0.000)
Li (0.750, 0.750, 0.000)
Nd (0.000, 0.000, 0.000)
Nd (0.028, 0.528, 0.816)
Nd (0.213, 0.028, 0.500)
Nd (0.287, 0.787, 0.816)
Nd (0.472, 0.287, 0.500)
Nd (0.500, 0.500, 0.000)
Nd (0.528, 0.713, 0.500)
Nd (0.713, 0.213, 0.184)
Nd (0.787, 0.972, 0.500)
Nd (0.972, 0.472, 0.184)
Co (0.137, 0.363, 0.500)
Co (0.363, 0.863, 0.225)
Co (0.637, 0.137, 0.775)
Co (0.863, 0.637, 0.500)

=====

[5]
DFT (GGA-PBE) results for Ac4Pt3Br after structural relaxation.

Values from the calculation:
density of states at the Fermi level	0.578	states/eV per atom
ΔE_f (raw)	-1238	meV/atom
uncorrected energy	-0.4238	Ry per atom
magnetic moment	0.0	μB per formula unit
density	10.24	Mg/m³

a b c (Å): 9.116 12.636 4.427
angles (deg): 90.00 90.00 90.00
Element x y z (fractional)
Ac (0.000, 0.237, 0.000)
Ac (0.000, 0.763, 0.000)
Ac (0.225, 0.000, 0.500)
Ac (0.275, 0.500, 0.500)
Ac (0.500, 0.263, 0.000)
Ac (0.500, 0.737, 0.000)
Ac (0.725, 0.500, 0.500)
Ac (0.775, 0.000, 0.500)
Pt (0.000, 0.000, 0.000)
Pt (0.250, 0.250, 0.500)
Pt (0.250, 0.750, 0.500)
Pt (0.500, 0.500, 0.000)
Pt (0.750, 0.250, 0.500)
Pt (0.750, 0.750, 0.500)
Br (0.000, 0.500, 0.000)
Br (0.500, 0.000, 0.000)

=====

[6]
DFT (GGA-PBE) results for Li2ZrTc after structural relaxation.

Values from the calculation:
density of states at the Fermi level	0.656	states/eV per atom
E_form	3.31	kcal/mol of atoms
uncorrected energy	-0.4073	Ry per atom
magnetic moment	0.0	μB per formula unit
density	4.89	Mg/m³

a b c (Å): 3.170 4.266 5.097
angles (deg): 90.00 90.00 90.00
Element x y z (fractional)
Li (0.000, 0.000, 0.000)
Li (0.500, 0.500, 0.000)
Zr (0.000, 0.500, 0.500)
Tc (0.500, 0.000, 0.500)

=====

[7]
DFT (GGA-PBE) results for AlCr2 after structural relaxation.

Values from the calculation:
density of states at the Fermi level	0.833	states/eV per atom
E_form	1.31	kcal/mol of atoms
uncorrected energy	-0.5590	Ry per atom
magnetic moment	0.0	μB per formula unit
density	5.75	Mg/m³

a b c (Å): 2.507 4.030 7.483
angles (deg): 90.00 90.00 90.00
Element x y z (fractional)
Al (0.000, 0.000, 0.000)
Al (0.500, 0.500, 0.500)
Cr (0.000, 0.000, 0.339)
Cr (0.000, 0.000, 0.661)
Cr (0.500, 0.500, 0.161)
Cr (0.500, 0.500, 0.839)

=====

[8]
DFT (GGA-PBE) results for PrCdAgHg after structural relaxation.

Values from the calculation:
density of states at the Fermi level	0.735	states/eV per atom
E_form	-8.17	kcal/mol of atoms
uncorrected energy	-0.1886	Ry per atom
magnetic moment	0.0	μB per formula unit
density	9.76	Mg/m³

a b c (Å): 7.258 7.258 7.258
angles (deg): 90.00 90.00 90.00
Element x y z (fractional)
Pr (0.000, 0.000, 0.000)
Pr (0.000, 0.500, 0.500)
Pr (0.500, 0.000, 0.500)
Pr (0.500, 0.500, 0.000)
Cd (0.000, 0.000, 0.500)
Cd (0.000, 0.500, 0.000)
Cd (0.500, 0.000, 0.000)
Cd (0.500, 0.500, 0.500)
Ag (0.250, 0.250, 0.750)
Ag (0.250, 0.750, 0.250)
Ag (0.750, 0.250, 0.250)
Ag (0.750, 0.750, 0.750)
Hg (0.250, 0.250, 0.250)
Hg (0.250, 0.750, 0.750)
Hg (0.750, 0.250, 0.750)
Hg (0.750, 0.750, 0.250)

=====

[9]
DFT (GGA-PBE) results for Ac6Ge2Pb after structural relaxation.

Values from the calculation:
density of states at the Fermi level	1.131	states/eV per atom
E_form	-8.29	kcal/mol of atoms
uncorrected energy	-0.3334	Ry per atom
magnetic moment	0.0	μB per formula unit
density	8.50	Mg/m³

a b c (Å): 7.124 7.124 10.296
angles (deg): 122.42 122.42 53.25
Element x y z (fractional)
Ac (0.081, 0.081, 0.384)
Ac (0.340, 0.340, 0.317)
Ac (0.341, 0.341, 0.941)
Ac (0.659, 0.659, 0.059)
Ac (0.660, 0.660, 0.683)
Ac (0.919, 0.919, 0.616)
Ge (0.398, 0.398, 0.672)
Ge (0.602, 0.602, 0.328)
Pb (0.000, 0.000, 0.000)

=====

[10]
DFT (GGA-PBE) results for CoTeAu2 after structural relaxation.

Values from the calculation:
density of states at the Fermi level	1.165	states/eV per atom
ΔE_f (raw)	342	meV/atom
uncorrected energy	-0.2836	Ry per atom
magnetic moment	1.6	μB per formula unit
density	13.08	Mg/m³

a b c (Å): 3.969 3.969 4.677
angles (deg): 90.00 90.00 90.00
Element x y z (fractional)
Co (0.000, 0.000, 0.000)
Te (0.500, 0.500, 0.000)
Au (0.000, 0.500, 0.500)
Au (0.500, 0.000, 0.500)

=====

[11]
DFT (GGA-PBE) results for HgMoAs2 after structural relaxation.

Values from the calculation:
density of states at the Fermi level	0.916	states/eV per atom
E_form	8.19	kcal/mol of atoms
uncorrected energy	-0.3493	Ry per atom
magnetic moment	0.2	μB per formula unit
density	7.01	Mg/m³

a b c (Å): 6.108 6.108 11.340
angles (deg): 90.00 90.00 90.00
Element x y z (fractional)
Hg (0.000, 0.000, 0.000)
Hg (0.000, 0.500, 0.250)
Hg (0.500, 0.000, 0.750)
Hg (0.500, 0.500, 0.500)
Mo (0.000, 0.000, 0.500)
Mo (0.000, 0.500, 0.750)
Mo (0.500, 0.000, 0.250)
Mo (0.500, 0.500, 0.000)
As (0.203, 0.250, 0.625)
As (0.250, 0.703, 0.875)
As (0.250, 0.797, 0.375)
As (0.297, 0.250, 0.125)
As (0.703, 0.750, 0.125)
As (0.750, 0.203, 0.375)
As (0.750, 0.297, 0.875)
As (0.797, 0.750, 0.625)

=====

[12]
DFT (GGA-PBE) results for LiCa2ZrCu after structural relaxation.

Values from the calculation:
density of states at the Fermi level	1.362	states/eV per atom
E_form	28.97	kcal/mol of atoms
uncorrected energy	-0.1805	Ry per atom
magnetic moment	3.3	μB per formula unit
density	2.31	Mg/m³

a b c (Å): 5.915 5.915 4.976
angles (deg): 90.00 90.00 90.00
Element x y z (fractional)
Li (0.000, 0.000, 0.000)
Ca (0.000, 0.500, 0.500)
Ca (0.500, 0.000, 0.500)
Zr (0.000, 0.000, 0.500)
Cu (0.500, 0.500, 0.000)

=====

Which value of uncorrected energy does entry 4 give?
-0.3676 Ry per atom